1.
Material: Fe3Te
Method: DFT, GGA-PBEsol
State: optimized geometry

The structure in POSCAR format:
```
Fe3Te
1.0
1.516 0.875 7.299
-1.516 0.875 7.299
0.000 -1.750 7.299
Fe Te
3 1
Cartesian
0.000 0.000 0.000
0.000 0.000 5.629
0.000 0.000 16.269
0.000 0.000 10.949
```

Computed properties:
SG: No. 166
total energy: -7.051 eV per atom
mass density: 8.436 g/cm3

2.
Material: Tl2FeTe
Method: DFT, GGA-PBEsol
State: optimized geometry

The structure in POSCAR format:
```
Tl2FeTe
1.0
-1.611 2.091 7.297
1.611 -2.091 7.297
1.611 2.091 -7.297
Tl Fe Te
2 1 1
Cartesian
0.000 0.000 2.598
0.000 0.000 11.996
1.611 0.000 0.000
0.000 2.091 0.000
```

Computed properties:
polymorph energy (0 for the lowest one): 0 meV per atom
SG: No. 71
total energy: -4.180 eV per atom
mass density: 10.001 g/cm3

3.
Material: Tl2FeTe
Method: DFT, GGA-PBEsol
State: optimized geometry

The structure in POSCAR format:
```
Tl2FeTe
1.0
0.000 3.634 3.634
3.634 0.000 3.634
3.634 3.634 0.000
Tl Fe Te
2 1 1
Cartesian
0.000 0.000 0.000
1.817 1.817 1.817
3.634 3.634 3.634
5.451 5.451 5.451
```

Computed properties:
polymorph energy (0 for the lowest one): 303 meV per atom
SG: No. 216
total energy: -3.877 eV per atom
mass density: 10.247 g/cm3

4.
Material: TlFe2Te
Method: DFT, GGA-PBEsol
State: optimized geometry

The structure in POSCAR format:
```
TlFe2Te
1.0
-2.312 2.327 3.267
2.312 -2.327 3.267
2.312 2.327 -3.267
Tl Fe Te
1 2 1
Cartesian
0.000 0.000 0.000
2.312 0.000 1.391
0.000 2.327 1.877
0.000 0.000 3.267
```

Computed properties:
polymorph energy (0 for the lowest one): 30 meV per atom
SG: No. 71
total energy: -5.429 eV per atom
mass density: 10.477 g/cm3

5.
Material: Tl2FeTe
Method: DFT, GGA-PBEsol
State: optimized geometry

The structure in POSCAR format:
```
Tl2FeTe
1.0
3.129 -4.878 0.000
3.129 4.878 0.000
0.000 0.000 3.166
Tl Fe Te
2 1 1
Cartesian
1.564 2.439 0.000
1.564 -2.439 0.000
0.000 0.000 1.583
3.129 0.000 1.583
```

Computed properties:
polymorph energy (0 for the lowest one): 289 meV per atom
SG: No. 65
total energy: -3.891 eV per atom
mass density: 10.175 g/cm3

6.
Material: Tl2FeTe
Method: DFT, GGA-PBEsol
State: optimized geometry

The structure in POSCAR format:
```
Tl2FeTe
1.0
4.224 0.000 0.000
0.000 4.224 0.000
0.000 0.000 5.468
Tl Fe Te
2 1 1
Cartesian
0.000 2.112 0.000
2.112 0.000 0.000
0.000 0.000 2.734
2.112 2.112 2.734
```

Computed properties:
polymorph energy (0 for the lowest one): 240 meV per atom
SG: No. 123
total energy: -3.940 eV per atom
mass density: 10.079 g/cm3

Which of these has the highest mass density?
TlFe2Te